Entry from the Alexandria database: crystalline Cs2TlCd3Hg12 at its relaxed geometry (PBE).

a = 13.500 Å, b = 13.500 Å, c = 13.500 Å
α = 31.35°, β = 31.35°, γ = 31.35°
Fractional coordinates of all 18 atoms:
Cs: 0.141 0.141 0.141
Cs: 0.859 0.859 0.859
Tl: 0.500 0.500 0.500
Cd: 0.000 0.500 0.500
Cd: 0.500 0.000 0.500
Cd: 0.500 0.500 0.000
Hg: 0.092 0.092 0.668
Hg: 0.092 0.668 0.092
Hg: 0.095 0.608 0.608
Hg: 0.332 0.908 0.908
Hg: 0.392 0.392 0.905
Hg: 0.392 0.905 0.392
Hg: 0.608 0.095 0.608
Hg: 0.608 0.608 0.095
Hg: 0.668 0.092 0.092
Hg: 0.905 0.392 0.392
Hg: 0.908 0.332 0.908
Hg: 0.908 0.908 0.332

Calculated values
Density, g/cm3: 9.03
M_tot, μB per cell: 0.0
VASP energy, Ry/atom: -0.048
Energy of formation from the pure elements, eV/atom: -0.071
Space group: No. 166